No. 1
# CoTe2Cl

CoTe2Cl after structural relaxation (PBE, Alexandria).

Computed properties:
For the mass density, the calculation gives 5.64 Mg/m³. As for the symmetry: Pm (6). The raw formation energy comes out at -93 meV/atom.

Cell and atoms, written as extended XYZ:
```
4
Lattice="3.400 0.000 0.000 0.000 5.899 0.087 0.000 4.395 5.197" Properties=species:S:1:pos:R:3 pbc="T T T"
Te 0.000 9.176 4.888
Te 1.700 2.533 1.216
Cl 0.000 6.251 3.272
Co 1.700 7.775 3.833
```

No. 2
# CoTeCl2

CoTeCl2 after structural relaxation (PBE, Alexandria).

Computed properties:
For the mass density, the calculation gives 5.04 Mg/m³. As for the symmetry: P4/mmm (123). The raw formation energy comes out at 650 meV/atom.

Cell and atoms, written as extended XYZ:
```
4
Lattice="-3.913 -2.093 2.621 2.964 -0.271 4.208 -0.973 2.910 0.873" Properties=species:S:1:pos:R:3 pbc="T T T"
Co -2.443 0.408 1.747
Te 0.996 1.320 2.540
Cl 0.000 0.000 0.000
Cl -0.475 -1.182 3.415
```

No. 3
# CoTeCl2

CoTeCl2 after structural relaxation (PBE, Alexandria).

Computed properties:
For the mass density, the calculation gives 3.79 Mg/m³. As for the symmetry: R-3m (166). The raw formation energy comes out at -243 meV/atom.

Cell and atoms, written as extended XYZ:
```
4
Lattice="1.930 0.000 11.665 -0.965 1.671 11.665 -0.965 -1.671 11.665" Properties=species:S:1:pos:R:3 pbc="T T T"
Co 0.000 0.000 17.497
Cl 0.000 0.000 30.588
Cl 0.000 0.000 4.406
Te 0.000 0.000 0.000
```

No. 4
# CoTe2Cl

CoTe2Cl after structural relaxation (PBE, Alexandria).

Computed properties:
For the mass density, the calculation gives 7.26 Mg/m³. As for the symmetry: Fm-3m (225). The raw formation energy comes out at 417 meV/atom.

Cell and atoms, written as extended XYZ:
```
4
Lattice="0.000 3.420 3.420 3.420 0.000 3.420 3.420 3.420 0.000" Properties=species:S:1:pos:R:3 pbc="T T T"
Te 5.130 5.130 5.130
Te 1.710 1.710 1.710
Cl 0.000 0.000 0.000
Co 3.420 3.420 3.420
```